## CaHg3O (PBE-GGA)

Data for a relaxed CaHg3O crystal.

Output
ΔE to the lowest computed polymorph = 0.6393 eV/atom
density = 4.92 g cm⁻³
total energy = -4.83 eV per cell
total magnetic moment = 0.0 μB/f.u.
ΔE_f (raw) = 0.606 eV per atom

The structure in CIF format:
```
data_CaHg3O
_symmetry_space_group_name_H-M 'P m -3 m'
_symmetry_Int_Tables_number 221
_symmetry_space_group_name_Hall '-P 4 2 3'
_cell_length_a 6.0567
_cell_length_b 6.0567
_cell_length_c 6.0567
_cell_angle_alpha 90.00
_cell_angle_beta 90.00
_cell_angle_gamma 90.00
loop_
_atom_site_label
_atom_site_fract_x
_atom_site_fract_y
_atom_site_fract_z
Ca1 0.0000 0.0000 0.0000
Hg1 0.0000 0.0000 0.5000
O1 0.5000 0.5000 0.5000
```